1.
The following is a GGA-PBE calculation of a relaxed Te3AsRh crystal, from the Alexandria database.

Summary:
**Energy above the most stable polymorph in this dataset**: 509 meV/atom
**Crystal system**: cubic

Geometry as CIF:
```
data_Te3AsRh
_chemical_formula_sum 'Te3 As1 Rh1'
_symmetry_space_group_name_H-M 'P m -3 m'
_symmetry_Int_Tables_number 221
_symmetry_space_group_name_Hall '-P 4 2 3'
_cell_length_a 5.3339
_cell_length_b 5.3339
_cell_length_c 5.3339
_cell_angle_alpha 90.00
_cell_angle_beta 90.00
_cell_angle_gamma 90.00
loop_
_atom_site_label
_atom_site_fract_x
_atom_site_fract_y
_atom_site_fract_z
Te1 0.0000 0.0000 0.5000
As1 0.0000 0.0000 0.0000
Rh1 0.5000 0.5000 0.5000
```


2.
The following is a GGA-PBE calculation of a relaxed Te4AsRh crystal, from the Alexandria database.

Summary:
**Total energy**: -73.51 eV/cell
**Crystal system**: cubic

Geometry as CIF:
```
data_Te4AsRh
_chemical_formula_sum 'Te16 As4 Rh4'
_symmetry_space_group_name_H-M 'F -4 3 m'
_symmetry_Int_Tables_number 216
_symmetry_space_group_name_Hall 'F -4 2 3'
_cell_length_a 8.6951
_cell_length_b 8.6951
_cell_length_c 8.6951
_cell_angle_alpha 90.00
_cell_angle_beta 90.00
_cell_angle_gamma 90.00
loop_
_atom_site_label
_atom_site_fract_x
_atom_site_fract_y
_atom_site_fract_z
Te1 0.1253 0.1253 0.1253
As1 0.2500 0.2500 0.7500
Rh1 0.0000 0.0000 0.5000
```


3.
The following is a GGA-PBE calculation of a relaxed TeAsRh2 crystal, from the Alexandria database.

Summary:
**Energy above the most stable polymorph in this dataset**: 340 meV/atom
**Crystal system**: monoclinic

Geometry as CIF:
```
data_TeAsRh2
_chemical_formula_sum 'Te2 As2 Rh4'
_symmetry_space_group_name_H-M 'C 1 2/m 1'
_symmetry_Int_Tables_number 12
_symmetry_space_group_name_Hall '-C 2y'
_cell_length_a 6.4687
_cell_length_b 6.4100
_cell_length_c 3.2983
_cell_angle_alpha 90.00
_cell_angle_beta 90.18
_cell_angle_gamma 90.00
loop_
_atom_site_label
_atom_site_fract_x
_atom_site_fract_y
_atom_site_fract_z
Te1 0.0000 0.0000 0.0000
As1 0.0000 0.5000 0.0000
Rh1 0.2500 0.2500 0.5000
```


4.
The following is a GGA-PBE calculation of a relaxed TeAsRh3 crystal, from the Alexandria database.

Summary:
**Energy above the most stable polymorph in this dataset**: 0 meV/atom
**Crystal system**: cubic

Geometry as CIF:
```
data_TeAsRh3
_chemical_formula_sum 'Te1 As1 Rh3'
_symmetry_space_group_name_H-M 'P m -3 m'
_symmetry_Int_Tables_number 221
_symmetry_space_group_name_Hall '-P 4 2 3'
_cell_length_a 4.6012
_cell_length_b 4.6012
_cell_length_c 4.6012
_cell_angle_alpha 90.00
_cell_angle_beta 90.00
_cell_angle_gamma 90.00
loop_
_atom_site_label
_atom_site_fract_x
_atom_site_fract_y
_atom_site_fract_z
Te1 0.0000 0.0000 0.0000
As1 0.5000 0.5000 0.5000
Rh1 0.0000 0.5000 0.5000
```


5.
The following is a GGA-PBE calculation of a relaxed TeAs2Rh2 crystal, from the Alexandria database.

Summary:
**Energy above the most stable polymorph in this dataset**: 7 meV/atom
**Crystal system**: tetragonal

Geometry as CIF:
```
data_TeAs2Rh2
_chemical_formula_sum 'Te2 As4 Rh4'
_symmetry_space_group_name_H-M 'I 4/m m m'
_symmetry_Int_Tables_number 139
_symmetry_space_group_name_Hall '-I 4 2'
_cell_length_a 4.2185
_cell_length_b 4.2185
_cell_length_c 10.6661
_cell_angle_alpha 90.00
_cell_angle_beta 90.00
_cell_angle_gamma 90.00
loop_
_atom_site_label
_atom_site_fract_x
_atom_site_fract_y
_atom_site_fract_z
Te1 0.0000 0.0000 0.0000
As1 0.0000 0.0000 0.3752
Rh1 0.0000 0.5000 0.2500
```


6.
The following is a GGA-PBE calculation of a relaxed TeAs4Rh crystal, from the Alexandria database.

Summary:
**Total energy**: -100.34 eV/cell
**Crystal system**: cubic

Geometry as CIF:
```
data_TeAs4Rh
_chemical_formula_sum 'Te4 As16 Rh4'
_symmetry_space_group_name_H-M 'F -4 3 m'
_symmetry_Int_Tables_number 216
_symmetry_space_group_name_Hall 'F -4 2 3'
_cell_length_a 7.8592
_cell_length_b 7.8592
_cell_length_c 7.8592
_cell_angle_alpha 90.00
_cell_angle_beta 90.00
_cell_angle_gamma 90.00
loop_
_atom_site_label
_atom_site_fract_x
_atom_site_fract_y
_atom_site_fract_z
Te1 0.0000 0.0000 0.0000
As1 0.1239 0.1239 0.6239
Rh1 0.2500 0.2500 0.2500
```


Which formula does entry 6 have?
TeAs4Rh